(1)
The following is a DFT calculation (PBE) of crystalline ZrCrPb at its relaxed geometry.

Cell and atoms, written as extended XYZ:
```
3
Lattice="4.7592 0.0000 0.0000 -2.3796 4.1216 0.0000 0.0000 0.0000 3.2400" Properties=species:S:1:pos:R:3 pbc="T T T"
Zr 0.0000 0.0000 0.0000
Cr 2.3796 1.3739 1.6200
Pb 0.0000 2.7477 1.6200
```

Values from the calculation:
- energy relative to the lowest polymorph listed for this composition (meV per atom) = 43.0
- total energy (eV/f.u.) = -20.978
- energy of formation (eV per atom) = 0.301


(2)
The following is a DFT calculation (PBE) of crystalline AcEu2Sn at its relaxed geometry.

Cell and atoms, written as extended XYZ:
```
16
Lattice="8.1513 0.0000 0.0000 0.0000 8.1513 0.0000 0.0000 0.0000 8.1513" Properties=species:S:1:pos:R:3 pbc="T T T"
Ac 0.0000 0.0000 0.0000
Ac 0.0000 4.0756 4.0756
Ac 4.0756 0.0000 4.0756
Ac 4.0756 4.0756 0.0000
Eu 2.0378 2.0378 2.0378
Eu 2.0378 2.0378 6.1135
Eu 2.0378 6.1135 2.0378
Eu 2.0378 6.1135 6.1135
Eu 6.1135 2.0378 2.0378
Eu 6.1135 2.0378 6.1135
Eu 6.1135 6.1135 2.0378
Eu 6.1135 6.1135 6.1135
Sn 0.0000 0.0000 4.0756
Sn 0.0000 4.0756 0.0000
Sn 4.0756 0.0000 0.0000
Sn 4.0756 4.0756 4.0756
```

Values from the calculation:
- energy relative to the lowest polymorph listed for this composition (meV per atom) = 181.7
- total energy (eV/f.u.) = -29.477
- energy of formation (eV per atom) = -0.204


(3)
The following is a DFT calculation (PBE) of crystalline Th2Mg3Sn2 at its relaxed geometry.

Cell and atoms, written as extended XYZ:
```
14
Lattice="4.4475 0.0000 0.0000 0.0000 21.4772 0.0000 0.0000 0.0000 4.3210" Properties=species:S:1:pos:R:3 pbc="T T T"
Th 0.0000 3.6453 0.0000
Th 0.0000 17.8319 0.0000
Th 2.2237 7.0933 0.0000
Th 2.2237 14.3840 0.0000
Mg 0.0000 0.0000 0.0000
Mg 0.0000 9.2681 2.1605
Mg 0.0000 12.2091 2.1605
Mg 2.2237 1.4705 2.1605
Mg 2.2237 10.7386 0.0000
Mg 2.2237 20.0067 2.1605
Sn 0.0000 6.4081 2.1605
Sn 0.0000 15.0691 2.1605
Sn 2.2237 4.3305 2.1605
Sn 2.2237 17.1468 2.1605
```

Values from the calculation:
- total energy (eV/f.u.) = -28.415
- energy of formation (eV per atom) = -0.112


(4)
The following is a DFT calculation (PBE) of crystalline ScIn2Au at its relaxed geometry.

Cell and atoms, written as extended XYZ:
```
4
Lattice="3.4558 0.0000 0.0000 0.0000 4.3732 0.0000 -1.6073 0.0000 5.9708" Properties=species:S:1:pos:R:3 pbc="T T T"
Sc 0.0000 0.0000 0.0000
In 0.0830 2.1866 4.1591
In 1.7741 0.0000 2.8151
Au 1.7124 2.1866 1.0084
```

Values from the calculation:
- total energy (eV/f.u.) = -16.432
- energy of formation (eV per atom) = -0.337